Computed, not measured: Tb4TmCd after structural relaxation at the PBE level of DFT.

E_tot, eV per atom: -3.98
Energy of formation, meV per atom: 10
Symmetry: No. 15

Cell: 8.3004 8.3004 6.2974 Å, 99.94 99.94 116.87°
Closest atoms and distances in Å follow each position.
Sites, in units of the cell vectors:
Tb 0.0932 0.7110 0.9570  2 Cd 3.22-3.24, 6 Tb 3.29-3.60, 2 Tm 3.57-3.60
Tb 0.1632 0.4076 0.6220  2 Cd 3.29-3.33, 5 Tb 3.29-3.67, 2 Tm 3.47
Tb 0.2890 0.9068 0.5430  2 Cd 3.22-3.24, 6 Tb 3.29-3.60, 2 Tm 3.57-3.60
Tb 0.4076 0.1632 0.1220  2 Cd 3.29-3.33, 5 Tb 3.29-3.67, 2 Tm 3.47
Tb 0.5924 0.8368 0.8780  2 Cd 3.29-3.33, 5 Tb 3.29-3.67, 2 Tm 3.47
Tb 0.7110 0.0932 0.4570  2 Cd 3.22-3.24, 6 Tb 3.29-3.60, 2 Tm 3.57-3.60
Tb 0.8368 0.5924 0.3780  2 Cd 3.29-3.33, 5 Tb 3.29-3.67, 2 Tm 3.47
Tb 0.9068 0.2890 0.0430  2 Cd 3.22-3.24, 6 Tb 3.29-3.60, 2 Tm 3.57-3.60
Tm 0.4108 0.5892 0.2500  10 Tb 3.47-3.80
Tm 0.5892 0.4108 0.7500  10 Tb 3.47-3.80
Cd 0.0005 0.9995 0.2500  2 Cd 3.15, 8 Tb 3.22-3.33
Cd 0.9995 0.0005 0.7500  2 Cd 3.15, 8 Tb 3.22-3.33